Computed, not measured: a relaxed Y2CoAg crystal at the GGA-PBE level of DFT.

Lattice parameters (Å, degrees): 7.6069 7.6069 6.2477 52.50 52.50 90.00
Closest atoms and distances in Å follow each position.
Atoms (fractional coordinates):
Y: 0.5829 0.1250 0.2500  2 Co 2.60
Y: 0.1671 0.6250 0.2500  2 Co 2.60
Y: 0.3750 0.4171 0.7500  2 Co 2.60
Y: 0.8750 0.8329 0.7500  2 Co 2.60
Co: 0.5000 0.5000 0.0000  4 Y 2.60
Co: 0.2500 0.7500 0.5000  4 Y 2.60
Ag: 0.0000 0.0000 0.0000  4 Y 3.03, 2 Co 3.18
Ag: 0.7500 0.2500 0.5000  4 Y 3.03, 2 Co 3.18

Output
ΔE_f: 61 kJ/mol of formula units
VASP energy: -5.56 eV per atom
Symmetry: I-42d